An optimized crystal structure of LaCdPt. Source: Alexandria via LeMat-Bulk, functional PBE.

Cell lengths 4.7427, 4.7427, 3.8314 Å; angles 90.00, 90.00, 120.00 degrees
Fractional coordinates of all 3 atoms:
Cd 0.0000 0.0000 0.8330
Pt 0.3333 0.6667 0.8341
La 0.6667 0.3333 0.3329

Calculated values
calculated volume	24.88	Å³/atom
calculated formation energy	-0.714	eV/atom
DOS(E_F)	1.073	states/eV/atom

***

An optimized crystal structure of Ce3Nd2ErAs6. Source: Alexandria via LeMat-Bulk, functional PBE.

Cell lengths 7.2998, 7.2998, 7.2945 Å; angles 99.61, 99.61, 120.00 degrees
Last column: magnetic moment on the atom in μB.
Fractional coordinates of all 12 atoms:
As 0.0836 0.4104 0.2512  -0.02
As 0.9164 0.5896 0.7488  -0.02
As 0.2423 0.2423 0.7471  -0.02
As 0.5896 0.9164 0.7488  -0.02
As 0.7577 0.7577 0.2529  -0.02
As 0.4104 0.0836 0.2512  -0.02
Er 0.0000 0.0000 0.0000  0.00
Ce 0.1682 0.8318 0.5000  0.58
Ce 0.8318 0.1682 0.5000  0.58
Ce 0.5000 0.5000 0.5000  0.58
Nd 0.6661 0.3339 0.0000  0.01
Nd 0.3339 0.6661 0.0000  0.01

Calculated values
calculated volume	26.44	Å³/atom
calculated formation energy	-1.469	eV/atom
DOS(E_F)	1.408	states/eV/atom

***

An optimized crystal structure of ZrTl2. Source: Alexandria via LeMat-Bulk, functional PBE.

Cell lengths 6.2426, 6.2426, 7.7075 Å; angles 74.91, 74.91, 31.09 degrees
Fractional coordinates of all 6 atoms:
Zr 0.0366 0.0366 0.6912
Zr 0.9634 0.9634 0.3088
Tl 0.6871 0.6871 0.3620
Tl 0.6324 0.6324 0.9714
Tl 0.3676 0.3676 0.0286
Tl 0.3129 0.3129 0.6380

Calculated values
calculated volume	24.89	Å³/atom
calculated formation energy	0.145	eV/atom
DOS(E_F)	0.738	states/eV/atom